Entry 1:
This record from Alexandria describes MnBr after structural relaxation. The functional is PBE.

```
4
Lattice="-1.666 -1.514 2.968 1.898 -3.336 -0.636 5.381 2.265 4.176" Properties=species:S:1:pos:R:3 pbc="T T T"
Mn 3.050 -0.783 1.312
Br 0.821 0.346 0.637
Br 3.779 -0.883 4.008
Mn 1.550 0.247 3.333
```

Formation energy from raw total energies, meV/atom: 16
Space-group type: Pmmn

=====

Entry 2:
This record from Alexandria describes SrTaRe2 after structural relaxation. The functional is PBE.

```
4
Lattice="-3.802 2.744 -2.551 -5.217 1.084 -0.311 -0.611 4.710 3.103" Properties=species:S:1:pos:R:3 pbc="T T T"
Re -2.705 1.815 -0.364
Ta -6.937 6.735 0.607
Sr -4.875 4.259 0.076
Re -8.947 3.826 -2.818
```

E_form, eV per atom: 0.66
Space-group type: Cm

=====

Entry 3:
This record from Alexandria describes Mg2IrCl after structural relaxation. The functional is PBE.

```
4
Lattice="4.641 0.000 0.000 2.321 4.019 0.000 2.321 1.340 3.789" Properties=species:S:1:pos:R:3 pbc="T T T"
Cl 4.641 2.680 1.895
Mg 0.000 0.000 0.000
Ir 6.962 4.019 2.842
Mg 2.321 1.340 0.947
```

Formation energy from raw total energies, meV/atom: 171
Space-group type: F-43m